Record 1
DFT (PBE) results for a relaxed structure of SrGaSbI2.

abc: 5.782 5.782 5.468
angles: 90.00 90.00 90.00
Each line ends with the local moment (μB).
Element x y z (fractional)
I: 0.000 0.500 0.000  0.03
I: 0.500 0.000 0.000  0.03
Sb: 0.000 0.000 0.500  0.09
Sr: 0.500 0.500 0.500  0.01
Ga: 0.000 0.000 0.000  0.00

Summary:
ΔE_f (raw) in eV per atom: -0.427
Space group: P4/mmm (123)

***

Record 2
DFT (PBE) results for a relaxed structure of TaGaSb2I.

abc: 5.194 5.194 5.288
angles: 90.00 90.00 90.00
Element x y z (fractional)
Sb: 0.000 0.500 0.000
Sb: 0.500 0.000 0.000
Ta: 0.500 0.500 0.500
I: 0.000 0.000 0.500
Ga: 0.000 0.000 0.000

Summary:
ΔE_f (raw) in eV per atom: 1.285
Space group: P4/mmm (123)

***

Record 3
DFT (PBE) results for a relaxed structure of TaGaSb2I.

abc: 5.338 5.338 5.899
angles: 90.00 90.00 90.00
Element x y z (fractional)
I: 0.000 0.000 0.500
Sb: 0.500 0.000 0.000
Sb: 0.000 0.500 0.000
Ga: 0.500 0.500 0.500
Ta: 0.000 0.000 0.000

Summary:
ΔE_f (raw) in eV per atom: 0.390
Space group: P4/mmm (123)